VASP calculation (PBE-GGA) on crystalline GdY2Al3CuSn2 at its relaxed geometry.

The total energy comes out at -5.0697 eV/atom. As for the magnetization: 0.001 μB/cell.

The space group is Amm2 (No. 38) and the conventional cell measures 4.293, 12.698 and 7.311 Å, with angles of 90.00, 90.00 and 90.00 degrees. The distinct sites, in fractional coordinates, are Gd at (0.000, 0.000, 0.000), Y at (0.000, 0.194, 0.418), Al at (0.500, 0.000, 0.388), Al at (0.500, 0.111, 0.723), Cu at (0.000, 0.000, 0.610) and Sn at (0.500, 0.167, 0.112).